Material: Cd2P
Method: DFT, PBE
State: relaxed

```
Cd2P
1.0
2.022 5.519 0.022
-2.022 5.519 0.022
0.000 3.223 6.073
Cd P
4 2
direct
0.596 0.596 0.101
0.862 0.862 0.536
0.404 0.404 0.899
0.138 0.138 0.464
0.195 0.195 0.798
0.805 0.805 0.202
```

Summary:
**Energy relative to the elements**: 142 meV per atom
**Raw total energy**: -13.6 eV/cell
**Offset from the most stable computed form**: 52.9 meV per atom
**D(E_F)**: 0.308 states/eV/atom